# 1
The following is a DFT calculation (PBE) of an optimized crystal structure of Pm4HPt2.

E: -5.707 eV per atom
Total magnetic moment: 0.00 Bohr magnetons per cell
Fermi-level density of states: 14.0 states/eV/cell

a = 6.528 Å, b = 7.084 Å, c = 7.845 Å
α = 90.00°, β = 107.46°, γ = 90.00°
Space group P2_1/m (No. 11)
Unique sites:
Pm  0.001  0.003  0.251 x4
Pm  0.429  0.750  0.105 x2
Pm  0.440  0.750  0.612 x2
H  0.238  0.750  0.807 x2
Pt  0.218  0.250  0.050 x2
Pt  0.224  0.250  0.560 x2

# 2
The following is a DFT calculation (PBE) of an optimized crystal structure of KMoSCl2.

E: -3.195 eV per atom
Raw formation energy: 0.755 eV per atom
Total magnetic moment: 3.00 Bohr magnetons per cell
Fermi-level density of states: 5.5 states/eV/cell

a = 5.497 Å, b = 5.497 Å, c = 5.592 Å
α = 90.00°, β = 90.00°, γ = 90.00°
Space group P4/mmm (No. 123)
Unique sites:
K  0.000  0.000  0.000 x1
Mo  0.500  0.500  0.500 x1
S  0.000  0.000  0.500 x1
Cl  0.000  0.500  0.000 x2

# 3
The following is a DFT calculation (PBE) of an optimized crystal structure of SrLaB2Se.

E: -3.555 eV per atom
Raw formation energy: 1.134 eV per atom
Total magnetic moment: 0.00 Bohr magnetons per cell
Fermi-level density of states: 4.8 states/eV/cell

a = 4.671 Å, b = 4.671 Å, c = 14.308 Å
α = 90.00°, β = 90.00°, γ = 90.00°
Space group P4/mmm (No. 123)
Unique sites:
Sr  0.000  0.000  0.000 x1
La  0.000  0.000  0.500 x1
B  0.000  0.500  0.500 x2
Se  0.500  0.500  0.000 x1

# 4
The following is a DFT calculation (PBE) of an optimized crystal structure of Mg2Ni2As.

E: -3.620 eV per atom
Total magnetic moment: 0.00 Bohr magnetons per cell
Fermi-level density of states: 5.2 states/eV/cell

a = 3.761 Å, b = 3.761 Å, c = 11.664 Å
α = 90.00°, β = 90.00°, γ = 90.00°
Space group I4/mmm (No. 139)
Unique sites:
Mg  0.000  0.500  0.250 x4
Ni  0.000  0.000  0.097 x4
As  0.000  0.000  0.500 x2

# 5
The following is a DFT calculation (PBE) of an optimized crystal structure of Dy2SnIr.

E: -6.108 eV per atom
Total magnetic moment: 0.00 Bohr magnetons per cell
Fermi-level density of states: 7.9 states/eV/cell

a = 3.8441 Å, b = 3.8441 Å, c = 24.9883 Å
α = 90.00°, β = 90.00°, γ = 120.00°
Space group R-3m (No. 166, hexagonal axes)
Unique sites:
Dy  0.0000  0.0000  0.2329 x6
Sn  0.0000  0.0000  0.0000 x3
Ir  0.0000  0.0000  0.5000 x3

# 6
The following is a DFT calculation (PBE) of an optimized crystal structure of CeNpPdAu.

E: -7.275 eV per atom
Total magnetic moment: 17.85 Bohr magnetons per cell
Fermi-level density of states: 35.2 states/eV/cell

a = 6.870 Å, b = 6.870 Å, c = 6.870 Å
α = 90.00°, β = 90.00°, γ = 90.00°
Space group F-43m (No. 216)
Unique sites:
Ce  0.000  0.000  0.000 x4
Np  0.250  0.250  0.750 x4
Pd  0.000  0.000  0.500 x4
Au  0.250  0.250  0.250 x4

# 7
The following is a DFT calculation (PBE) of an optimized crystal structure of TcAs2W.

E: -7.666 eV per atom
Total magnetic moment: 0.00 Bohr magnetons per cell
Fermi-level density of states: 13.4 states/eV/cell

a = 4.002 Å, b = 4.002 Å, c = 17.117 Å
α = 90.00°, β = 90.00°, γ = 90.00°
Space group I-42d (No. 122)
Unique sites:
Tc  0.000  0.000  0.000 x4
As  0.242  0.250  0.125 x8
W  0.000  0.000  0.500 x4

# 8
The following is a DFT calculation (PBE) of an optimized crystal structure of LaSnIN2.

E: -4.854 eV per atom
Raw formation energy: 0.572 eV per atom
Total magnetic moment: 0.00 Bohr magnetons per cell
Fermi-level density of states: 1.8 states/eV/cell

a = 4.391 Å, b = 4.391 Å, c = 5.621 Å
α = 90.00°, β = 90.00°, γ = 90.00°
Space group P4/mmm (No. 123)
Unique sites:
La  0.000  0.000  0.000 x1
Sn  0.500  0.500  0.500 x1
I  0.500  0.500  0.000 x1
N  0.000  0.500  0.500 x2

# 9
The following is a DFT calculation (PBE) of an optimized crystal structure of Zr4Fe2Tc.

E: -8.861 eV per atom
Total magnetic moment: 0.00 Bohr magnetons per cell
Fermi-level density of states: 13.1 states/eV/cell

a = 6.413 Å, b = 6.413 Å, c = 6.338 Å
α = 90.00°, β = 90.00°, γ = 90.00°
Space group I4/mmm (No. 139)
Unique sites:
Zr  0.250  0.250  0.250 x8
Fe  0.000  0.500  0.000 x4
Tc  0.000  0.000  0.000 x2

# 10
The following is a DFT calculation (PBE) of an optimized crystal structure of CoNi2Ag.

E: -5.174 eV per atom
Total magnetic moment: 2.97 Bohr magnetons per cell
Fermi-level density of states: 4.5 states/eV/cell

a = 2.666 Å, b = 3.366 Å, c = 5.684 Å
α = 90.00°, β = 90.00°, γ = 90.00°
Space group Pmmm (No. 47)
Unique sites:
Co  0.000  0.000  0.000 x1
Ni  0.500  0.500  0.213 x2
Ag  0.000  0.000  0.500 x1

# 11
The following is a DFT calculation (PBE) of an optimized crystal structure of Ac2TbCe.

E: -4.572 eV per atom
Total magnetic moment: 1.10 Bohr magnetons per cell
Fermi-level density of states: 10.0 states/eV/cell

a = 5.375 Å, b = 5.375 Å, c = 5.211 Å
α = 90.00°, β = 90.00°, γ = 90.00°
Space group P4/mmm (No. 123)
Unique sites:
Ac  0.000  0.500  0.000 x2
Tb  0.000  0.000  0.500 x1
Ce  0.500  0.500  0.500 x1

# 12
The following is a DFT calculation (PBE) of an optimized crystal structure of NaHg2F6.

E: -3.046 eV per atom
Raw formation energy: -1.585 eV per atom
Total magnetic moment: 0.00 Bohr magnetons per cell
Fermi-level density of states: 8.6 states/eV/cell

a = 11.781 Å, b = 4.446 Å, c = 7.402 Å
α = 90.00°, β = 123.13°, γ = 90.00°
Space group C2/m (No. 12)
Unique sites:
Na  0.000  0.000  0.000 x2
Hg  0.184  0.000  0.629 x4
F  0.006  0.000  0.316 x4
F  0.134  0.500  0.076 x4
F  0.211  0.500  0.620 x4

# 13
The following is a DFT calculation (PBE) of an optimized crystal structure of Zr6Pb2O.

E: -7.738 eV per atom
Raw formation energy: -0.664 eV per atom
Total magnetic moment: 0.00 Bohr magnetons per cell
Fermi-level density of states: 9.2 states/eV/cell

a = 6.220 Å, b = 6.220 Å, c = 9.704 Å
α = 90.00°, β = 90.00°, γ = 90.00°
Space group P4/mnc (No. 128)
Unique sites:
Zr  0.000  0.000  0.249 x4
Zr  0.217  0.270  0.000 x8
Pb  0.000  0.500  0.250 x4
O  0.000  0.000  0.500 x2

# 14
The following is a DFT calculation (PBE) of an optimized crystal structure of Si2NiRh.

E: -6.446 eV per atom
Raw formation energy: -0.452 eV per atom
Total magnetic moment: 0.00 Bohr magnetons per cell
Fermi-level density of states: 4.3 states/eV/cell

a = 7.604 Å, b = 2.880 Å, c = 4.714 Å
α = 90.00°, β = 101.17°, γ = 90.00°
Space group C2/m (No. 12)
Unique sites:
Si  0.248  0.000  0.235 x4
Ni  0.000  0.500  0.000 x2
Rh  0.000  0.000  0.500 x2

# 15
The following is a DFT calculation (PBE) of an optimized crystal structure of NdTmBi.

E: -5.012 eV per atom
Total magnetic moment: 0.00 Bohr magnetons per cell
Fermi-level density of states: 5.2 states/eV/cell

a = 4.596 Å, b = 4.597 Å, c = 8.807 Å
α = 90.00°, β = 90.05°, γ = 90.00°
Space group P2_1/m (No. 11)
Unique sites:
Nd  0.249  0.250  0.151 x2
Tm  0.250  0.750  0.500 x2
Bi  0.251  0.250  0.773 x2

# 16
The following is a DFT calculation (PBE) of an optimized crystal structure of BaTlSn2Ru.

E: -4.446 eV per atom
Total magnetic moment: 0.00 Bohr magnetons per cell
Fermi-level density of states: 6.7 states/eV/cell

a = 5.224 Å, b = 5.224 Å, c = 5.350 Å
α = 90.00°, β = 90.00°, γ = 90.00°
Space group P4/mmm (No. 123)
Unique sites:
Ba  0.000  0.000  0.000 x1
Tl  0.500  0.500  0.000 x1
Sn  0.000  0.500  0.500 x2
Ru  0.500  0.500  0.500 x1

# 17
The following is a DFT calculation (PBE) of an optimized crystal structure of RbBiSeO6.

E: -5.111 eV per atom
Raw formation energy: -0.879 eV per atom
Total magnetic moment: 0.00 Bohr magnetons per cell

a = 5.3396 Å, b = 5.3396 Å, c = 6.4117 Å
α = 90.00°, β = 90.00°, γ = 120.00°
Space group P312 (No. 149)
Unique sites:
Rb  0.0000  0.0000  0.0000 x1
Bi  0.3333  0.6667  0.5000 x1
Se  0.6667  0.3333  0.5000 x1
O  0.4031  0.0437  0.6725 x6